[1]
B2C PBE-GGA optimized geometry; Fermi-level density of states = 2.0 states/eV per cell
1.0
2.603 0.000 0.000
0.000 6.687 0.000
0.000 0.000 4.640
B C
8 4
Direct
0.000 0.000 0.000 B
0.000 0.140 0.686 B
0.000 0.860 0.686 B
0.500 0.165 0.429 B
0.500 0.348 0.132 B
0.500 0.500 0.465 B
0.500 0.652 0.132 B
0.500 0.835 0.429 B
0.000 0.324 0.914 C
0.000 0.500 0.700 C
0.000 0.676 0.914 C
0.500 0.000 0.179 C

[2]
TbPm6YHo2 PBE-GGA optimized geometry; Fermi-level density of states = 28.5 states/eV per cell
1.0
4.598 -7.656 0.000
4.598 7.656 0.000
-1.258 0.000 9.571
Tb Pm Y Ho
2 12 2 4
Direct
0.090 0.910 0.750 Tb
0.910 0.090 0.250 Tb
0.006 0.791 0.381 Pm
0.065 0.515 0.186 Pm
0.209 0.994 0.119 Pm
0.259 0.619 0.554 Pm
0.381 0.741 0.946 Pm
0.485 0.935 0.314 Pm
0.515 0.065 0.686 Pm
0.619 0.259 0.054 Pm
0.741 0.381 0.446 Pm
0.791 0.006 0.881 Pm
0.935 0.485 0.814 Pm
0.994 0.209 0.619 Pm
0.474 0.526 0.250 Y
0.526 0.474 0.750 Y
0.199 0.301 0.955 Ho
0.301 0.199 0.455 Ho
0.699 0.801 0.545 Ho
0.801 0.699 0.045 Ho

| no. | formation energy (meV per atom) | total magnetization (μB/f.u.) |
| --- | --- | --- |
| 1 | 400 | 0.0 |
| 2 | 115 | 0.0 |